The following is a GGA+U calculation of a relaxed KV2AsO6 crystal, from the Alexandria database.

Cell lengths 7.573, 7.573, 6.219 Å; angles 103.66, 103.66, 85.07 degrees
Fractional coordinates of all 20 atoms:
K (0.096, 0.904, 0.750)
K (0.904, 0.096, 0.250)
V (0.178, 0.370, 0.776)
V (0.370, 0.178, 0.276)
V (0.630, 0.822, 0.724)
V (0.822, 0.630, 0.224)
As (0.272, 0.728, 0.250)
As (0.728, 0.272, 0.750)
O (0.052, 0.743, 0.314)
O (0.165, 0.599, 0.903)
O (0.257, 0.948, 0.186)
O (0.262, 0.299, 0.518)
O (0.299, 0.262, 0.018)
O (0.401, 0.835, 0.597)
O (0.599, 0.165, 0.403)
O (0.701, 0.738, 0.982)
O (0.738, 0.701, 0.482)
O (0.743, 0.052, 0.814)
O (0.835, 0.401, 0.097)
O (0.948, 0.257, 0.686)

The following is a GGA+U calculation of a relaxed KV2AsO8 crystal, from the Alexandria database.

Cell lengths 5.477, 5.477, 7.414 Å; angles 90.00, 90.00, 120.00 degrees
Fractional coordinates of all 12 atoms:
K (0.000, 0.000, 0.000)
V (0.333, 0.667, 0.282)
V (0.667, 0.333, 0.718)
As (0.000, 0.000, 0.500)
O (0.154, 0.309, 0.352)
O (0.154, 0.846, 0.352)
O (0.309, 0.154, 0.648)
O (0.333, 0.667, 0.061)
O (0.667, 0.333, 0.939)
O (0.691, 0.846, 0.352)
O (0.846, 0.154, 0.648)
O (0.846, 0.691, 0.648)

Results
DOS at the Fermi energy ... 0.0000 states/eV per atom

The following is a GGA+U calculation of a relaxed KVAs2O8 crystal, from the Alexandria database.

Cell lengths 9.649, 9.649, 9.649 Å; angles 29.09, 29.09, 29.09 degrees
Fractional coordinates of all 12 atoms:
K (0.000, 0.000, 0.000)
V (0.500, 0.500, 0.500)
As (0.234, 0.234, 0.234)
As (0.766, 0.766, 0.766)
O (0.144, 0.475, 0.747)
O (0.253, 0.525, 0.856)
O (0.294, 0.294, 0.294)
O (0.475, 0.747, 0.144)
O (0.525, 0.856, 0.253)
O (0.706, 0.706, 0.706)
O (0.747, 0.144, 0.475)
O (0.856, 0.253, 0.525)

The following is a GGA+U calculation of a relaxed KVAsO5 crystal, from the Alexandria database.

Cell lengths 13.302, 6.649, 10.821 Å; angles 90.00, 90.00, 90.00 degrees
Fractional coordinates of all 64 atoms:
K (0.106, 0.205, 0.000)
K (0.126, 0.774, 0.258)
K (0.374, 0.274, 0.758)
K (0.394, 0.705, 0.500)
K (0.606, 0.295, 0.000)
K (0.626, 0.726, 0.258)
K (0.874, 0.226, 0.758)
K (0.894, 0.795, 0.500)
V (0.125, 0.496, 0.571)
V (0.247, 0.767, 0.820)
V (0.253, 0.267, 0.320)
V (0.375, 0.996, 0.071)
V (0.625, 0.004, 0.571)
V (0.747, 0.733, 0.820)
V (0.753, 0.233, 0.320)
V (0.875, 0.504, 0.071)
As (0.002, 0.323, 0.312)
As (0.181, 0.000, 0.558)
As (0.319, 0.500, 0.058)
As (0.498, 0.823, 0.812)
As (0.502, 0.177, 0.312)
As (0.681, 0.500, 0.558)
As (0.819, 0.000, 0.058)
As (0.998, 0.677, 0.812)
O (0.006, 0.526, 0.683)
O (0.017, 0.486, 0.434)
O (0.099, 0.836, 0.829)
O (0.106, 0.201, 0.594)
O (0.106, 0.798, 0.522)
O (0.107, 0.174, 0.292)
O (0.213, 0.555, 0.684)
O (0.222, 0.442, 0.434)
O (0.236, 0.453, 0.177)
O (0.236, 0.533, 0.935)
O (0.264, 0.033, 0.435)
O (0.264, 0.953, 0.677)
O (0.278, 0.942, 0.934)
O (0.287, 0.055, 0.184)
O (0.393, 0.674, 0.792)
O (0.394, 0.298, 0.022)
O (0.394, 0.701, 0.094)
O (0.401, 0.336, 0.329)
O (0.483, 0.986, 0.934)
O (0.494, 0.026, 0.183)
O (0.506, 0.974, 0.683)
O (0.517, 0.014, 0.434)
O (0.599, 0.664, 0.829)
O (0.606, 0.299, 0.594)
O (0.606, 0.702, 0.522)
O (0.607, 0.326, 0.292)
O (0.713, 0.945, 0.684)
O (0.722, 0.058, 0.434)
O (0.736, 0.047, 0.177)
O (0.736, 0.967, 0.935)
O (0.764, 0.467, 0.435)
O (0.764, 0.547, 0.677)
O (0.778, 0.558, 0.934)
O (0.787, 0.445, 0.184)
O (0.893, 0.826, 0.792)
O (0.894, 0.202, 0.022)
O (0.894, 0.799, 0.094)
O (0.901, 0.164, 0.329)
O (0.983, 0.514, 0.934)
O (0.994, 0.474, 0.183)

Results
DOS at the Fermi energy ... 0.0000 states/eV per atom

| no. | theoretical density (g cm⁻³) | total energy (eV per cell) |
| --- | --- | --- |
| 1 | 3.078 | -135.030 |
| 2 | 2.965 | -80.281 |
| 3 | 3.251 | -73.672 |
| 4 | 3.400 | -415.922 |